## Mg6Rh2Au (PBE)

Data for an optimized crystal structure of Mg6Rh2Au.

Values from the calculation:
Space-group type: No. 136
Magnetic moment, μB/cell: 0.00
Crystal system: tetragonal
Energy of formation from the pure elements, kJ per mole of atoms: -38.1
Volume, A^3/atom: 17.7

Cell: 4.3065 8.5959 8.5988 Å, 90.00 90.00 90.00°
With the nearest neighbours (Å) after each atom.
Fractional positions:
Rh (0.0000, 0.3072, 0.8069)  10 Mg 2.81-2.98
Rh (0.5000, 0.1928, 0.3069)  10 Mg 2.81-2.98
Rh (0.5000, 0.8072, 0.6931)  10 Mg 2.81-2.98
Rh (0.0000, 0.6928, 0.1931)  10 Mg 2.81-2.98
Mg (0.0000, 0.3618, 0.1378)  2 Au 2.73, 4 Rh 2.88-2.98, 6 Mg 2.94-2.98
Mg (0.5000, 0.4771, 0.6841)  1 Au 2.72, 3 Rh 2.81-2.84, 3 Mg 2.94-2.98
Mg (0.0000, 0.3160, 0.4768)  1 Au 2.72, 3 Rh 2.81-2.84, 3 Mg 2.94-2.98
Mg (0.5000, 0.1840, 0.9768)  1 Au 2.72, 3 Rh 2.81-2.84, 3 Mg 2.94-2.98
Mg (0.0000, 0.6382, 0.8622)  2 Au 2.73, 4 Rh 2.88-2.98, 6 Mg 2.94-2.98
Mg (0.5000, 0.5229, 0.3159)  1 Au 2.72, 3 Rh 2.81-2.84, 3 Mg 2.94-2.98
Mg (0.0000, 0.6840, 0.5232)  1 Au 2.72, 3 Rh 2.81-2.84, 3 Mg 2.94-2.98
Mg (0.5000, 0.8160, 0.0232)  1 Au 2.72, 3 Rh 2.81-2.84, 3 Mg 2.94-2.98
Mg (0.5000, 0.8619, 0.3622)  2 Au 2.73, 4 Rh 2.88-2.98, 6 Mg 2.94-2.98
Mg (0.0000, 0.9771, 0.8159)  1 Au 2.72, 3 Rh 2.81-2.84, 3 Mg 2.94-2.98
Mg (0.0000, 0.0229, 0.1841)  1 Au 2.72, 3 Rh 2.81-2.84, 3 Mg 2.94-2.98
Mg (0.5000, 0.1381, 0.6378)  2 Au 2.73, 4 Rh 2.88-2.98, 6 Mg 2.94-2.98
Au (0.0000, 0.0000, 0.5000)  8 Mg 2.72-2.73
Au (0.5000, 0.5000, 0.0000)  8 Mg 2.72-2.73

---

## Mg2Rh2Au (PBE)

Data for an optimized crystal structure of Mg2Rh2Au.

Values from the calculation:
Space-group type: No. 127
Magnetic moment, μB/cell: 0.00
Crystal system: tetragonal
Energy of formation from the pure elements, kJ per mole of atoms: -30.4
Volume, A^3/atom: 16.8

Cell: 7.0489 7.0489 3.3738 Å, 90.00 90.00 90.00°
With the nearest neighbours (Å) after each atom.
Fractional positions:
Au (0.5000, 0.5000, 0.0000)  4 Rh 2.76
Au (0.0000, 0.0000, 0.0000)  4 Rh 2.76
Rh (0.3686, 0.8686, 0.0000)  6 Mg 2.61-2.72, 1 Rh 2.62, 2 Au 2.76
Rh (0.8686, 0.6314, 0.0000)  6 Mg 2.61-2.72, 1 Rh 2.62, 2 Au 2.76
Rh (0.6314, 0.1314, 0.0000)  6 Mg 2.61-2.72, 1 Rh 2.62, 2 Au 2.76
Rh (0.1314, 0.3686, 0.0000)  6 Mg 2.61-2.72, 1 Rh 2.62, 2 Au 2.76
Mg (0.1683, 0.6683, 0.5000)  6 Rh 2.61-2.72
Mg (0.8317, 0.3317, 0.5000)  6 Rh 2.61-2.72
Mg (0.3317, 0.1683, 0.5000)  6 Rh 2.61-2.72
Mg (0.6683, 0.8317, 0.5000)  6 Rh 2.61-2.72

---

## MgRh2Au (PBE)

Data for an optimized crystal structure of MgRh2Au.

Values from the calculation:
Space-group type: No. 10
Magnetic moment, μB/cell: 0.00
Crystal system: monoclinic
Energy of formation from the pure elements, kJ per mole of atoms: -22.4
Volume, A^3/atom: 15.5

Cell: 2.8869 4.7688 5.6170 Å, 53.54 90.00 90.00°
With the nearest neighbours (Å) after each atom.
Fractional positions:
Rh (0.5000, 0.5000, 0.0000)  4 Mg 2.77, 6 Rh 2.79-2.89, 2 Au 2.81
Rh (0.0000, 0.0000, 0.0000)  4 Au 2.77, 6 Rh 2.79-2.89, 2 Mg 2.81
Au (0.5000, 0.5000, 0.5000)  6 Rh 2.77-2.81, 4 Mg 2.79, 2 Au 2.89
Mg (0.0000, 0.0000, 0.5000)  6 Rh 2.77-2.81, 4 Au 2.79, 2 Mg 2.89

---

## Mg5RhAu4 (PBE)

Data for an optimized crystal structure of Mg5RhAu4.

Values from the calculation:
Space-group type: No. 123
Magnetic moment, μB/cell: 0.00
Crystal system: tetragonal
Energy of formation from the pure elements, kJ per mole of atoms: -57.0
Volume, A^3/atom: 17.4

Cell: 3.3089 3.3089 15.8998 Å, 90.00 90.00 90.00°
With the nearest neighbours (Å) after each atom.
Fractional positions:
Mg (0.5000, 0.5000, 0.5000)  8 Au 2.87
Mg (0.5000, 0.5000, 0.2954)  8 Au 2.83-2.85
Mg (0.5000, 0.5000, 0.0899)  4 Rh 2.74, 4 Au 2.85, 1 Mg 2.86
Mg (0.5000, 0.5000, 0.7046)  8 Au 2.83-2.85
Mg (0.5000, 0.5000, 0.9101)  4 Rh 2.74, 4 Au 2.85, 1 Mg 2.86
Au (0.0000, 0.0000, 0.8074)  8 Mg 2.85, 1 Rh 3.06
Au (0.0000, 0.0000, 0.3957)  8 Mg 2.83-2.87
Au (0.0000, 0.0000, 0.6043)  8 Mg 2.83-2.87
Au (0.0000, 0.0000, 0.1926)  8 Mg 2.85, 1 Rh 3.06
Rh (0.0000, 0.0000, 0.0000)  8 Mg 2.74, 2 Au 3.06

---

## MgRh2Au2 (PBE)

Data for an optimized crystal structure of MgRh2Au2.

Values from the calculation:
Space-group type: No. 127
Magnetic moment, μB/cell: 0.00
Crystal system: tetragonal
Polymorph energy (0 for the lowest one), eV/atom: 0.044
Energy of formation from the pure elements, kJ per mole of atoms: 5.4
Volume, A^3/atom: 17.6

Cell: 7.1825 7.1825 3.4080 Å, 90.00 90.00 90.00°
With the nearest neighbours (Å) after each atom.
Fractional positions:
Rh (0.8544, 0.3544, 0.5000)  6 Au 2.67-2.73, 1 Rh 2.96
Rh (0.6456, 0.8544, 0.5000)  6 Au 2.67-2.73, 1 Rh 2.96
Rh (0.3544, 0.1456, 0.5000)  6 Au 2.67-2.73, 1 Rh 2.96
Rh (0.1456, 0.6456, 0.5000)  6 Au 2.67-2.73, 1 Rh 2.96
Mg (0.5000, 0.5000, 0.0000)  4 Au 2.73
Mg (0.0000, 0.0000, 0.0000)  4 Au 2.73
Au (0.3483, 0.8483, 0.0000)  6 Rh 2.67-2.73, 2 Mg 2.73
Au (0.6517, 0.1517, 0.0000)  6 Rh 2.67-2.73, 2 Mg 2.73
Au (0.8483, 0.6517, 0.0000)  6 Rh 2.67-2.73, 2 Mg 2.73
Au (0.1517, 0.3483, 0.0000)  6 Rh 2.67-2.73, 2 Mg 2.73

---

## Mg6RhAu (PBE)

Data for an optimized crystal structure of Mg6RhAu.

Values from the calculation:
Space-group type: No. 139
Magnetic moment, μB/cell: 0.00
Crystal system: tetragonal
Polymorph energy (0 for the lowest one), eV/atom: 0.000
Energy of formation from the pure elements, kJ per mole of atoms: -29.6
Volume, A^3/atom: 19.4

Cell: 4.5824 4.5824 8.0798 Å, 73.53 73.53 90.00°
With the nearest neighbours (Å) after each atom.
Fractional positions:
Mg (0.8960, 0.3960, 0.2081)  2 Au 2.76, 2 Rh 2.76, 3 Mg 3.08-3.09
Mg (0.3960, 0.8960, 0.2081)  2 Rh 2.76, 2 Au 2.76, 3 Mg 3.08-3.09
Mg (0.1040, 0.6040, 0.7919)  2 Au 2.76, 2 Rh 2.76, 3 Mg 3.08-3.09
Mg (0.6040, 0.1040, 0.7919)  2 Rh 2.76, 2 Au 2.76, 3 Mg 3.08-3.09
Mg (0.7560, 0.7560, 0.4879)  12 Mg 3.09-3.25
Mg (0.2440, 0.2440, 0.5121)  12 Mg 3.09-3.25
Rh (0.0000, 0.0000, 0.0000)  8 Mg 2.76
Au (0.5000, 0.5000, 0.0000)  8 Mg 2.76

---

## Mg3RhAu2 (PBE)

Data for an optimized crystal structure of Mg3RhAu2.

Values from the calculation:
Space-group type: No. 123
Magnetic moment, μB/cell: 0.00
Crystal system: tetragonal
Energy of formation from the pure elements, kJ per mole of atoms: -55.8
Volume, A^3/atom: 17.0

Cell: 3.2197 3.2197 9.8480 Å, 90.00 90.00 90.00°
With the nearest neighbours (Å) after each atom.
Fractional positions:
Mg (0.0000, 0.0000, 0.6504)  4 Rh 2.72, 4 Au 2.85, 1 Mg 2.96
Mg (0.0000, 0.0000, 0.0000)  8 Au 2.86
Mg (0.0000, 0.0000, 0.3496)  4 Rh 2.72, 4 Au 2.85, 1 Mg 2.96
Au (0.5000, 0.5000, 0.8250)  8 Mg 2.85-2.86
Au (0.5000, 0.5000, 0.1750)  8 Mg 2.85-2.86
Rh (0.5000, 0.5000, 0.5000)  8 Mg 2.72

---

## MgRh2Au (PBE)

Data for an optimized crystal structure of MgRh2Au.

Values from the calculation:
Space-group type: No. 65
Magnetic moment, μB/cell: 0.01
Crystal system: orthorhombic
Energy of formation from the pure elements, kJ per mole of atoms: -0.2
Volume, A^3/atom: 15.9

Cell: 2.7832 2.7832 9.0989 Å, 90.00 90.00 115.82°
With the nearest neighbours (Å) after each atom.
Fractional positions:
Rh (0.0000, 0.0000, 0.9869)  2 Mg 2.61, 4 Rh 2.78, 2 Au 2.81
Rh (0.0000, 0.0000, 0.5131)  2 Mg 2.61, 4 Rh 2.78, 2 Au 2.81
Au (0.5000, 0.5000, 0.2500)  6 Au 2.78-2.96, 4 Rh 2.81
Mg (0.5000, 0.5000, 0.7500)  4 Rh 2.61, 4 Mg 2.78

---

## MgRh2Au (PBE)

Data for an optimized crystal structure of MgRh2Au.

Values from the calculation:
Space-group type: No. 44
Magnetic moment, μB/cell: 0.00
Crystal system: orthorhombic
Energy of formation from the pure elements, kJ per mole of atoms: -13.0
Volume, A^3/atom: 15.9

Cell: 5.3719 5.3719 5.3719 Å, 147.82 129.07 61.54°
With the nearest neighbours (Å) after each atom.
Fractional positions:
Mg (0.2449, 0.7449, 0.5000)  6 Rh 2.74-2.75, 2 Au 2.78, 2 Mg 2.98
Rh (0.9953, 0.9953, 0.0000)  2 Rh 2.63, 2 Mg 2.74, 4 Au 2.75
Rh (0.7600, 0.2600, 0.5000)  2 Rh 2.63, 4 Mg 2.75, 2 Au 2.83
Au (0.4998, 0.4998, 0.0000)  6 Rh 2.75-2.83, 2 Mg 2.78, 2 Au 2.98

---

## Mg6Rh2Au (PBE)

Data for an optimized crystal structure of Mg6Rh2Au.

Values from the calculation:
Space-group type: No. 164
Magnetic moment, μB/cell: 0.00
Crystal system: trigonal
Energy of formation from the pure elements, kJ per mole of atoms: -38.0
Volume, A^3/atom: 17.5

Cell: 4.5877 4.5874 8.6655 Å, 90.00 90.00 120.00°
With the nearest neighbours (Å) after each atom.
Fractional positions:
Mg (0.6667, 0.3333, 0.9383)  1 Rh 2.76, 7 Mg 2.86-2.95
Mg (0.0000, 0.0000, 0.1945)  1 Au 2.65, 3 Rh 2.70, 3 Mg 2.89
Mg (0.3333, 0.6667, 0.4023)  3 Au 2.78, 4 Rh 2.93-2.96, 1 Mg 2.95
Mg (0.6667, 0.3333, 0.5977)  3 Au 2.78, 4 Rh 2.93-2.96, 1 Mg 2.95
Mg (0.0000, 0.0000, 0.8055)  1 Au 2.65, 3 Rh 2.70, 3 Mg 2.89
Mg (0.3333, 0.6667, 0.0617)  1 Rh 2.76, 7 Mg 2.86-2.95
Rh (0.6666, 0.3333, 0.2563)  8 Mg 2.70-2.96
Rh (0.3334, 0.6667, 0.7437)  8 Mg 2.70-2.96
Au (0.0000, 0.0000, 0.5000)  8 Mg 2.65-2.78

---

Question: Which of these has the highest energy of formation from the pure elements?
Answer: MgRh2Au2

---

Copy entry 5 word for word.
## MgRh2Au2 (PBE)

Data for an optimized crystal structure of MgRh2Au2.

Values from the calculation:
Space-group type: No. 127
Magnetic moment, μB/cell: 0.00
Crystal system: tetragonal
Polymorph energy (0 for the lowest one), eV/atom: 0.044
Energy of formation from the pure elements, kJ per mole of atoms: 5.4
Volume, A^3/atom: 17.6

Cell: 7.1825 7.1825 3.4080 Å, 90.00 90.00 90.00°
With the nearest neighbours (Å) after each atom.
Fractional positions:
Rh (0.8544, 0.3544, 0.5000)  6 Au 2.67-2.73, 1 Rh 2.96
Rh (0.6456, 0.8544, 0.5000)  6 Au 2.67-2.73, 1 Rh 2.96
Rh (0.3544, 0.1456, 0.5000)  6 Au 2.67-2.73, 1 Rh 2.96
Rh (0.1456, 0.6456, 0.5000)  6 Au 2.67-2.73, 1 Rh 2.96
Mg (0.5000, 0.5000, 0.0000)  4 Au 2.73
Mg (0.0000, 0.0000, 0.0000)  4 Au 2.73
Au (0.3483, 0.8483, 0.0000)  6 Rh 2.67-2.73, 2 Mg 2.73
Au (0.6517, 0.1517, 0.0000)  6 Rh 2.67-2.73, 2 Mg 2.73
Au (0.8483, 0.6517, 0.0000)  6 Rh 2.67-2.73, 2 Mg 2.73
Au (0.1517, 0.3483, 0.0000)  6 Rh 2.67-2.73, 2 Mg 2.73